1.
Entry from Alexandria via LeMat-Bulk: a relaxed Tb6As5P crystal (GGA-PBE).

Output
energy of formation from the pure elements	-1.55	eV per atom
DOS(E_F)	1.234	states/eV/f.u.
total DFT energy (no corrections)	-6.255	eV per atom
ρ	7.598	g cm⁻³
total magnetization	0.0	μB/f.u.

a b c (Å): 7.1377 7.1417 7.1384
angles (deg): 59.98 80.39 70.51
With the nearest neighbours (Å) after each atom.
Fractional coordinates of all 12 atoms:
1 As 0.5000 0.1678 0.6645  6 Tb 2.91-2.94
2 As 0.0000 0.3334 0.3332  6 Tb 2.92
3 Tb 0.7525 0.4114 0.6711  1 P 2.88, 5 As 2.91-2.94
4 As 0.5000 0.8322 0.3355  6 Tb 2.91-2.94
5 Tb 0.7521 0.7537 0.0000  1 P 2.88, 5 As 2.92-2.95
6 As 0.5000 0.5000 0.0000  6 Tb 2.91-2.95
7 As 0.0000 0.6666 0.6668  6 Tb 2.92
8 Tb 0.7525 0.0825 0.3289  1 P 2.88, 5 As 2.91-2.94
9 Tb 0.2479 0.2463 0.0000  1 P 2.88, 5 As 2.92-2.95
10 Tb 0.2475 0.5886 0.3289  1 P 2.88, 5 As 2.91-2.94
11 P 0.0000 0.0000 0.0000  6 Tb 2.88
12 Tb 0.2475 0.9175 0.6711  1 P 2.88, 5 As 2.91-2.94


2.
Entry from Alexandria via LeMat-Bulk: a relaxed Tb2AsP crystal (GGA-PBE).

Output
energy of formation from the pure elements	-1.57	eV per atom
DOS(E_F)	0.472	states/eV/f.u.
total DFT energy (no corrections)	-6.404	eV per atom
ρ	7.308	g cm⁻³
total magnetization	0.0	μB/f.u.

a b c (Å): 4.0831 4.0831 7.0741
angles (deg): 89.99 106.78 120.01
With the nearest neighbours (Å) after each atom.
Fractional coordinates of all 4 atoms:
1 As 0.0000 0.5000 0.5000  6 Tb 2.91
2 P 0.0000 0.0000 0.0000  6 Tb 2.86
3 Tb 0.5046 0.2523 0.7569  3 P 2.86, 3 As 2.91
4 Tb 0.4954 0.7477 0.2431  3 P 2.86, 3 As 2.91


3.
Entry from Alexandria via LeMat-Bulk: a relaxed Tb5As2P2 crystal (GGA-PBE).

Output
energy of formation from the pure elements	-1.31	eV per atom
DOS(E_F)	7.094	states/eV/f.u.
total DFT energy (no corrections)	-6.122	eV per atom
ρ	7.988	g cm⁻³
total magnetization	0.0	μB/f.u.

a b c (Å): 7.6704 7.5694 8.1400
angles (deg): 117.71 90.00 90.00
With the nearest neighbours (Å) after each atom.
Fractional coordinates of all 18 atoms:
1 P 0.8559 0.3554 0.0000  8 Tb 2.86-3.01, 1 P 3.11
2 As 0.0000 0.8004 0.6009  7 Tb 2.88-3.04
3 As 0.5000 0.3004 0.6009  7 Tb 2.88-3.04
4 Tb 0.1581 0.4726 0.2668  3 P 2.86-3.01, 3 As 2.96-3.04
5 Tb 0.8419 0.7941 0.2668  3 P 2.86-3.01, 3 As 2.96-3.04
6 As 0.5000 0.6996 0.3991  7 Tb 2.88-3.04
7 P 0.6441 0.8554 0.0000  8 Tb 2.86-3.01, 1 P 3.11
8 Tb 0.8419 0.5274 0.7332  3 P 2.86-3.01, 3 As 2.96-3.04
9 P 0.3559 0.1446 0.0000  8 Tb 2.86-3.01, 1 P 3.11
10 Tb 0.3419 0.9726 0.2668  3 P 2.86-3.01, 3 As 2.96-3.04
11 P 0.1441 0.6446 0.0000  8 Tb 2.86-3.01, 1 P 3.11
12 Tb 0.3419 0.7059 0.7332  3 P 2.86-3.01, 3 As 2.96-3.04
13 Tb 0.6581 0.2941 0.2668  3 P 2.86-3.01, 3 As 2.96-3.04
14 Tb 0.1581 0.2059 0.7332  3 P 2.86-3.01, 3 As 2.96-3.04
15 Tb 0.5000 0.5000 0.0000  2 As 2.88, 4 P 2.91-2.94
16 As 0.0000 0.1996 0.3991  7 Tb 2.88-3.04
17 Tb 0.0000 0.0000 0.0000  2 As 2.88, 4 P 2.91-2.94
18 Tb 0.6581 0.0274 0.7332  3 P 2.86-3.01, 3 As 2.96-3.04


4.
Entry from Alexandria via LeMat-Bulk: a relaxed Tb7AsP5 crystal (GGA-PBE).

Output
energy of formation from the pure elements	-1.49	eV per atom
DOS(E_F)	4.474	states/eV/f.u.
total DFT energy (no corrections)	-6.422	eV per atom
ρ	7.088	g cm⁻³
total magnetization	0.6	μB/f.u.

a b c (Å): 4.0197 6.9213 23.6242
angles (deg): 90.00 90.00 106.88
With the nearest neighbours (Å) after each atom.
Fractional coordinates of all 26 atoms:
1 Tb 0.3639 0.7276 0.9647  6 P 2.83-2.87
2 Tb 0.5449 0.0902 0.7500  2 P 2.74, 2 As 2.90
3 Tb 0.1790 0.3581 0.3248  3 P 2.70-2.78
4 P 0.2728 0.5457 0.4264  6 Tb 2.70-2.85
5 Tb 0.0896 0.1794 0.6049  5 P 2.75-2.84
6 Tb 0.9108 0.8216 0.3951  5 P 2.75-2.84
7 P 0.2729 0.5458 0.0736  6 Tb 2.70-2.85
8 As 0.7976 0.5954 0.2500  6 Tb 2.90-3.10
9 Tb 0.6367 0.2735 0.4647  6 P 2.83-2.87
10 Tb 0.0898 0.1797 0.8951  5 P 2.75-2.84
11 As 0.2030 0.4058 0.7500  6 Tb 2.90-3.10
12 P 0.0002 0.0004 0.5000  6 Tb 2.75-2.83
13 Tb 0.3638 0.7274 0.5353  6 P 2.83-2.87
14 Tb 0.8215 0.6429 0.6752  3 P 2.70-2.78
15 P 0.7278 0.4555 0.9264  6 Tb 2.70-2.85
16 P 0.5445 0.0890 0.3548  6 Tb 2.74-2.87
17 Tb 0.1790 0.3582 0.1752  3 P 2.70-2.78
18 P 0.0003 0.0007 0.0000  6 Tb 2.75-2.83
19 Tb 0.8217 0.6431 0.8248  3 P 2.70-2.78
20 P 0.4560 0.9120 0.6452  6 Tb 2.74-2.87
21 P 0.4561 0.9122 0.8548  6 Tb 2.74-2.87
22 Tb 0.6368 0.2737 0.0353  6 P 2.83-2.87
23 Tb 0.4557 0.9110 0.2500  2 P 2.74, 2 As 2.90
24 Tb 0.9109 0.8216 0.1049  5 P 2.75-2.84
25 P 0.5445 0.0891 0.1452  6 Tb 2.74-2.87
26 P 0.7277 0.4553 0.5736  6 Tb 2.70-2.85


> Among the records above, which one has the highest total magnetization?

Tb7AsP5